Density functional theory data (GGA-PBE) for a relaxed Dy3Mg3ZnIn2 crystal.

Results
**V**: 220.66 Å³/f.u.
**Symmetry**: No. 189
**Raw total energy**: -28.4 eV/cell

Cell and atoms, written as CIF:
```
data_Dy3Mg3ZnIn2
_chemical_formula_sum 'Dy3 Mg3 Zn1 In2'
_cell_length_a 7.4710
_cell_length_b 7.4710
_cell_length_c 4.5649
_cell_angle_alpha 90.00
_cell_angle_beta 90.00
_cell_angle_gamma 120.00
_symmetry_space_group_name_H-M 'P 1'
_symmetry_Int_Tables_number 1
loop_
_symmetry_equiv_pos_as_xyz
'x,y,z'
loop_
_atom_site_label
_atom_site_type_symbol
_atom_site_fract_x
_atom_site_fract_y
_atom_site_fract_z
Mg1 Mg 0.2359 0.0000 0.5000
Mg2 Mg 0.0000 0.2359 0.5000
Mg3 Mg 0.7641 0.7641 0.5000
Dy1 Dy 0.0000 0.5854 0.0000
Dy2 Dy 0.4146 0.4146 0.0000
Dy3 Dy 0.5854 0.0000 0.0000
In1 In 0.3333 0.6667 0.5000
In2 In 0.6667 0.3333 0.5000
Zn1 Zn 0.0000 0.0000 0.0000
```